The following is a DFT calculation (PBE) of crystalline AlCdO3 at its relaxed geometry.

```
AlCdO3
1.0
-2.586 4.479 0.000
2.586 4.479 0.000
0.000 2.986 -4.769
O Cd Al
6 2 2
Cartesian
1.652 6.218 -1.011
-0.614 4.419 -1.011
-1.652 5.727 -3.758
-1.039 7.281 -1.011
0.614 7.526 -3.758
1.039 4.665 -3.758
0.000 2.986 -2.815
0.000 8.959 -1.954
0.000 5.973 -0.145
0.000 5.973 -4.624
```

Its space-group type is R-3, No. 148. As for the calculated total energy: -5.591 eV/atom. The density comes out at 5.63 g/cm3.


The following is a DFT calculation (PBE) of crystalline KBa2Nb2O7 at its relaxed geometry.

```
KBa2Nb2O7
1.0
-3.592 -1.600 10.426
-6.461 3.052 8.550
2.912 -2.429 -10.478
O Nb K Ba
7 2 1 2
Cartesian
-4.399 -1.428 7.638
-5.834 0.898 6.700
-8.141 1.176 15.368
-2.741 0.451 0.861
0.000 0.000 0.000
-1.306 -1.875 1.799
-1.911 0.276 3.608
-9.114 1.316 17.205
-0.939 0.136 1.772
-5.026 0.726 9.488
-6.884 0.994 12.994
-3.169 0.458 5.982
```

Its space-group type is I4/mmm, No. 139. As for the calculated total energy: -7.605 eV/atom. The density comes out at 5.65 g/cm3.


Please write out number 2 again, unchanged.
The following is a DFT calculation (PBE) of crystalline KBa2Nb2O7 at its relaxed geometry.

```
KBa2Nb2O7
1.0
-3.592 -1.600 10.426
-6.461 3.052 8.550
2.912 -2.429 -10.478
O Nb K Ba
7 2 1 2
Cartesian
-4.399 -1.428 7.638
-5.834 0.898 6.700
-8.141 1.176 15.368
-2.741 0.451 0.861
0.000 0.000 0.000
-1.306 -1.875 1.799
-1.911 0.276 3.608
-9.114 1.316 17.205
-0.939 0.136 1.772
-5.026 0.726 9.488
-6.884 0.994 12.994
-3.169 0.458 5.982
```

Its space-group type is I4/mmm, No. 139. As for the calculated total energy: -7.605 eV/atom. The density comes out at 5.65 g/cm3.